[1]
Entry from the Alexandria database: a relaxed structure of Hf2Cd2Bi (PBE-GGA).

POSCAR file:
```
Hf2Cd2Bi
1.0
8.557 0.000 0.000
0.000 8.557 0.000
0.000 0.000 3.272
Hf Cd Bi
4 4 2
direct
0.173 0.327 0.000 Hf
0.327 0.827 0.000 Hf
0.673 0.173 0.000 Hf
0.827 0.673 0.000 Hf
0.122 0.622 0.500 Cd
0.378 0.122 0.500 Cd
0.622 0.878 0.500 Cd
0.878 0.378 0.500 Cd
0.000 0.000 0.500 Bi
0.500 0.500 0.500 Bi
```

## Properties
Polymorph energy (0 for the lowest one): 121 meV per atom

***

[2]
Entry from the Alexandria database: a relaxed structure of Hf3CdBi (PBE-GGA).

POSCAR file:
```
Hf3CdBi
1.0
5.194 0.000 0.000
0.000 5.194 0.000
0.000 0.000 5.194
Hf Cd Bi
3 1 1
direct
0.000 0.000 0.500 Hf
0.000 0.500 0.000 Hf
0.500 0.000 0.000 Hf
0.000 0.000 0.000 Cd
0.500 0.500 0.500 Bi
```

## Properties
Polymorph energy (0 for the lowest one): 0 meV per atom

***

[3]
Entry from the Alexandria database: a relaxed structure of HfCdBi (PBE-GGA).

POSCAR file:
```
HfCdBi
1.0
4.133 0.000 0.000
0.000 4.133 0.000
0.000 0.000 8.795
Hf Cd Bi
2 2 2
direct
0.250 0.250 0.219 Hf
0.750 0.750 0.781 Hf
0.250 0.750 0.500 Cd
0.750 0.250 0.500 Cd
0.250 0.250 0.860 Bi
0.750 0.750 0.140 Bi
```

## Properties
Polymorph energy (0 for the lowest one): 7 meV per atom

***

[4]
Entry from the Alexandria database: a relaxed structure of HfCdBi2 (PBE-GGA).

POSCAR file:
```
HfCdBi2
1.0
-3.383 3.383 6.708
3.383 -3.383 6.708
3.383 3.383 -6.708
Hf Cd Bi
2 2 4
direct
0.000 0.000 0.000 Hf
0.750 0.250 0.500 Hf
0.250 0.750 0.500 Cd
0.500 0.500 0.000 Cd
0.112 0.625 0.987 Bi
0.375 0.362 0.487 Bi
0.638 0.125 0.013 Bi
0.875 0.888 0.513 Bi
```

***

| no. | total energy (eV/atom) | ρ (g cm⁻³) |
| --- | --- | --- |
| 1 | -4.8664 | 11.0 |
| 2 | -5.9504 | 10.2 |
| 3 | -4.8665 | 11.0 |
| 4 | -4.3777 | 7.7 |